DFT (PBE+U) results for a relaxed Fe3O2F4 crystal.

Results
The calculation puts the energy relative to the lowest polymorph listed for this composition at 42 meV/atom. The total energy comes out at -104.523 eV for the cell shown. Its calculated density is 4320 kg/m3.

Structure (CIF):
```
data_Fe3O2F4
_chemical_formula_sum 'Fe6 O4 F8'
_symmetry_space_group_name_H-M 'P 42/m n m'
_symmetry_Int_Tables_number 136
_symmetry_space_group_name_Hall '-P 4n 2n'
_cell_length_a 4.744
_cell_length_b 4.744
_cell_length_c 9.412
_cell_angle_alpha 90.00
_cell_angle_beta 90.00
_cell_angle_gamma 90.00
loop_
_atom_site_label
_atom_site_type_symbol
_atom_site_fract_x
_atom_site_fract_y
_atom_site_fract_z
Fe1 Fe 0.000 0.000 0.000
Fe2 Fe 0.000 0.000 0.357
O1 O 0.214 0.214 0.500
F1 F 0.193 0.193 0.172
```